# KErGaTe3, relaxed, DFT GGA-PBE
# * E_tot: -3.9544 eV/atom
# * volume: 221.9 Å³/f.u.
data_KErGaTe3
_cell_length_a 9.555
_cell_length_b 4.486
_cell_length_c 10.741
_cell_angle_alpha 90.00
_cell_angle_beta 105.41
_cell_angle_gamma 90.00
_symmetry_space_group_name_H-M 'P 1 21/m 1'
_symmetry_Int_Tables_number 11
loop_
_symmetry_equiv_pos_as_xyz
'x,y,z'
'-x,-y,-z'
'-x,y+1/2,-z'
'x,-y+1/2,z'
loop_
_atom_site_label
_atom_site_fract_x
_atom_site_fract_y
_atom_site_fract_z
K1 0.195 0.250 0.235
Er1 0.342 0.750 0.869
Ga1 0.075 0.250 0.614
Te1 0.120 0.250 0.876
Te2 0.224 0.750 0.559
Te3 0.449 0.750 0.161

---

# PtAuCl, relaxed, DFT GGA-PBE
# * E_tot: -3.4120 eV/atom
# * E above lowest polymorph: 0.0 meV/atom
# * volume: 56.6 Å³/f.u.
data_PtAuCl
_cell_length_a 3.3686
_cell_length_b 3.3686
_cell_length_c 5.7618
_cell_angle_alpha 90.00
_cell_angle_beta 90.00
_cell_angle_gamma 120.00
_symmetry_space_group_name_H-M 'P 3 m 1'
_symmetry_Int_Tables_number 156
loop_
_symmetry_equiv_pos_as_xyz
'x,y,z'
'-y,x-y,z'
'-x+y,-x,z'
'-y,-x,z'
'-x+y,y,z'
'x,x-y,z'
loop_
_atom_site_label
_atom_site_fract_x
_atom_site_fract_y
_atom_site_fract_z
Pt1 0.0000 0.0000 0.0000
Au1 0.6667 0.3333 0.3237
Cl1 0.3333 0.6667 0.6992

---

# NbInCuIr, relaxed, DFT GGA-PBE
# * E_tot: -6.6283 eV/atom
# * energy of formation: -187.0 meV per atom
# * volume: 65.6 Å³/f.u.
data_NbInCuIr
_cell_length_a 6.401
_cell_length_b 6.401
_cell_length_c 6.401
_cell_angle_alpha 90.00
_cell_angle_beta 90.00
_cell_angle_gamma 90.00
_symmetry_space_group_name_H-M 'F -4 3 m'
_symmetry_Int_Tables_number 216
_symmetry_space_group_name_Hall 'F -4 2 3'
loop_
_atom_site_label
_atom_site_fract_x
_atom_site_fract_y
_atom_site_fract_z
Nb1 0.000 0.000 0.000
In1 0.000 0.000 0.500
Cu1 0.250 0.250 0.250
Ir1 0.250 0.250 0.750

---

# NbCrMo4, relaxed, DFT GGA-PBE
# * E_tot: -10.5136 eV/atom
# * energy of formation: -10.7 meV per atom
# * volume: 93.5 Å³/f.u.
data_NbCrMo4
_cell_length_a 3.139
_cell_length_b 3.139
_cell_length_c 9.494
_cell_angle_alpha 90.00
_cell_angle_beta 90.00
_cell_angle_gamma 90.00
_symmetry_space_group_name_H-M 'P 4/m m m'
_symmetry_Int_Tables_number 123
_symmetry_space_group_name_Hall '-P 4 2'
loop_
_atom_site_label
_atom_site_fract_x
_atom_site_fract_y
_atom_site_fract_z
Nb1 0.000 0.000 0.000
Cr1 0.500 0.500 0.500
Mo1 0.000 0.000 0.342
Mo2 0.500 0.500 0.177

---

# Dy8TeAs3Se4, relaxed, DFT GGA-PBE
# * E_tot: -5.8947 eV/atom
# * volume: 399.2 Å³/f.u.
data_Dy8TeAs3Se4
_cell_length_a 8.2835
_cell_length_b 8.2835
_cell_length_c 20.1532
_cell_angle_alpha 90.00
_cell_angle_beta 90.00
_cell_angle_gamma 120.00
_symmetry_space_group_name_H-M 'R -3 m'
_symmetry_Int_Tables_number 166
_symmetry_space_group_name_Hall '-R 3 2"'
loop_
_atom_site_label
_atom_site_fract_x
_atom_site_fract_y
_atom_site_fract_z
Dy1 0.0000 0.0000 0.2457
Dy2 0.0179 0.5090 0.7505
Te1 0.0000 0.0000 0.5000
As1 0.0000 0.5000 0.5000
Se1 0.0000 0.0000 0.0000
Se2 0.0000 0.5000 0.0000

---

# RbBaGaSb2, relaxed, DFT GGA-PBE
# * E_tot: -2.4207 eV/atom
# * volume: 217.3 Å³/f.u.
data_RbBaGaSb2
_cell_length_a 6.192
_cell_length_b 6.192
_cell_length_c 5.668
_cell_angle_alpha 90.00
_cell_angle_beta 90.00
_cell_angle_gamma 90.00
_symmetry_space_group_name_H-M 'P 4/m m m'
_symmetry_Int_Tables_number 123
_symmetry_space_group_name_Hall '-P 4 2'
loop_
_atom_site_label
_atom_site_fract_x
_atom_site_fract_y
_atom_site_fract_z
Rb1 0.000 0.000 0.000
Ba1 0.500 0.500 0.500
Ga1 0.000 0.000 0.500
Sb1 0.000 0.500 0.000